Record 1
Computed, not measured: an optimized crystal structure of PrNdCd6 at the PBE level of DFT.

abc: 4.9987 7.0119 11.5735
angles: 90.00 90.00 90.00
Space group Amm2 (No. 38)
Inequivalent atoms, fractional coordinates:
Pr1 0.0000 0.0000 0.0000 [2 per cell]
Nd1 0.5000 0.0000 0.3056 [2 per cell]
Cd1 0.0000 0.0000 0.4861 [2 per cell]
Cd2 0.0000 0.2237 0.7388 [4 per cell]
Cd3 0.5000 0.0000 0.8181 [2 per cell]
Cd4 0.5000 0.2225 0.5673 [4 per cell]

Values from the calculation:
Calculated formation energy in kJ per mole of atoms: -29.86
DOS at the Fermi energy in states/eV per atom: 0.664

---

Record 2
Computed, not measured: an optimized crystal structure of ErThBiPb at the PBE level of DFT.

abc: 5.0499 5.0499 16.7600
angles: 90.00 90.00 120.00
Space group R3m (No. 160, hexagonal axes)
Inequivalent atoms, fractional coordinates:
Er1 0.0000 0.0000 0.0000 [3 per cell]
Th1 0.0000 0.0000 0.4976 [3 per cell]
Bi1 0.0000 0.0000 0.2585 [3 per cell]
Pb1 0.0000 0.0000 0.7443 [3 per cell]

Values from the calculation:
Calculated formation energy in kJ per mole of atoms: -41.63
DOS at the Fermi energy in states/eV per atom: 0.376